(1)
This record from the Alexandria database describes crystalline YRu3Pb at its relaxed geometry. The functional is PBE.

Values from the calculation:
* density of states at the Fermi level: 10.126 states/eV/cell
* raw total energy: -5.882 eV per atom

Geometry as CIF:
```
data_YRu3Pb
_cell_length_a 4.9268
_cell_length_b 4.9268
_cell_length_c 4.9268
_cell_angle_alpha 90.00
_cell_angle_beta 90.00
_cell_angle_gamma 90.00
_symmetry_space_group_name_H-M 'P m -3 m'
_symmetry_Int_Tables_number 221
_symmetry_space_group_name_Hall '-P 4 2 3'
loop_
_atom_site_label
_atom_site_fract_x
_atom_site_fract_y
_atom_site_fract_z
Y1 0.0000 0.0000 0.0000
Ru1 0.0000 0.0000 0.5000
Pb1 0.5000 0.5000 0.5000
```

=====

(2)
This record from the Alexandria database describes crystalline Sr2Y at its relaxed geometry. The functional is PBE.

Values from the calculation:
* density of states at the Fermi level: 5.145 states/eV/cell
* raw total energy: -2.829 eV per atom

Geometry as CIF:
```
data_Sr2Y
_cell_length_a 6.3737
_cell_length_b 6.3737
_cell_length_c 3.9501
_cell_angle_alpha 90.00
_cell_angle_beta 90.00
_cell_angle_gamma 90.00
_symmetry_space_group_name_H-M 'P 4/m m m'
_symmetry_Int_Tables_number 123
_symmetry_space_group_name_Hall '-P 4 2'
loop_
_atom_site_label
_atom_site_fract_x
_atom_site_fract_y
_atom_site_fract_z
Sr1 0.0000 0.5000 0.0000
Y1 0.0000 0.0000 0.5000
```

=====

Number 1: M_tot 3.10 Bohr magnetons per cell, ΔH_f (0 K) 1.718 eV per atom, relative energy among the computed polymorphs 346 meV/atom. Number 2: M_tot 0.00 Bohr magnetons per cell, ΔH_f (0 K) 0.447 eV per atom, relative energy among the computed polymorphs 305 meV/atom.